6
Lattice="0.000 4.267 4.267 4.267 0.000 4.267 4.267 4.267 0.000" Properties=species:S:1:pos:R:3 comment="LuHg4Pb | Alexandria | PBE | relaxed" e_tot_ev_per_cell=-9.358 magmom_total_mub_per_cell=0.0 volume_a3_per_atom=25.902 ef_mev_per_atom=13 dos_ef_per_ev_cell=4.14 pbc="T T T"
Lu 0.000 0.000 0.000
Hg 3.200 3.200 3.200
Hg 5.335 5.335 3.200
Hg 5.335 3.200 5.335
Hg 3.200 5.335 5.335
Pb 6.401 6.401 6.401

---

12
Lattice="6.293 0.000 0.000 -2.141 5.926 0.000 -0.344 -0.468 9.828" Properties=species:S:1:pos:R:3 comment="Tl7Hg3Sb2 | Alexandria | PBE | relaxed" e_tot_ev_per_cell=-25.396 magmom_total_mub_per_cell=0.0 formation_energy_uncorrected_ev_per_atom=0.027 volume_a3_per_atom=30.543 polymorph_energy_mev_per_atom=0.0 dos_ef_per_ev_cell=5.21 pbc="T T T"
Tl 0.000 0.000 0.000
Tl -0.717 2.877 1.728
Tl 0.265 3.881 4.913
Tl 2.942 0.307 1.730
Tl 0.865 5.152 8.098
Tl 3.543 1.578 4.915
Tl 4.524 2.582 8.100
Hg 0.352 0.516 3.647
Hg 2.076 2.963 0.000
Hg 3.455 4.943 6.181
Sb 1.095 1.581 7.171
Sb 2.712 3.878 2.657

---

6
Lattice="4.511 -1.511 0.000 4.511 1.511 0.000 -2.414 0.000 4.241" Properties=species:S:1:pos:R:3 comment="BP2C3 | Alexandria | PBE | relaxed" e_tot_ev_per_cell=-43.091 magmom_total_mub_per_cell=0.0 volume_a3_per_atom=9.635 polymorph_energy_mev_per_atom=37.5 ef_mev_per_atom=346 dos_ef_per_ev_cell=0.51 pbc="T T T"
B 0.000 0.000 0.000
P 0.210 0.000 2.819
P 3.375 0.000 4.223
C 5.939 0.000 2.727
C 6.785 0.000 1.501
C 8.164 0.000 1.342

---

10
Lattice="6.950 -2.172 0.000 6.950 2.172 0.000 -5.657 0.000 7.929" Properties=species:S:1:pos:R:3 comment="La2BrNF | Alexandria | PBE | relaxed" e_tot_ev_per_cell=-65.716 magmom_total_mub_per_cell=0.1 formation_energy_uncorrected_ev_per_atom=-2.227 volume_a3_per_atom=23.939 dos_ef_per_ev_cell=1.80 pbc="T T T"
La -1.217 0.000 2.447
La -0.796 0.000 7.401
La 9.040 0.000 0.529
La 9.461 0.000 5.483
Br 2.063 0.000 3.019
Br 6.180 0.000 4.910
N -3.115 0.000 7.248
N 11.359 0.000 0.681
F 1.865 0.000 6.337
F 6.379 0.000 1.593

---

5
Lattice="4.412 0.000 0.000 0.000 4.412 0.000 0.000 0.000 3.813" Properties=species:S:1:pos:R:3 comment="KAuNO2 | Alexandria | PBE | relaxed" e_tot_ev_per_cell=-19.990 magmom_total_mub_per_cell=0.6 formation_energy_uncorrected_ev_per_atom=0.525 volume_a3_per_atom=14.846 dos_ef_per_ev_cell=5.45 pbc="T T T"
K 0.000 0.000 0.000
Au 2.206 2.206 1.907
N 2.206 2.206 0.000
O 0.000 2.206 1.907
O 2.206 0.000 1.907

---

10
Lattice="8.982 -2.070 0.000 8.982 2.070 0.000 -2.217 0.000 7.698" Properties=species:S:1:pos:R:3 comment="Nd5PaIr4 | Alexandria | PBE | relaxed" e_tot_ev_per_cell=-74.734 magmom_total_mub_per_cell=0.0 volume_a3_per_atom=28.632 ef_mev_per_atom=-595 dos_ef_per_ev_cell=6.08 pbc="T T T"
Nd 0.000 0.000 0.000
Nd 4.516 0.000 4.964
Nd 5.714 0.000 1.256
Nd 10.033 0.000 6.442
Nd 11.231 0.000 2.734
Pa -1.109 0.000 3.849
Ir 1.603 0.000 4.618
Ir 7.315 0.000 5.687
Ir 8.432 0.000 2.011
Ir 14.144 0.000 3.081

---

4
Lattice="0.000 4.006 4.006 4.006 0.000 4.006 4.006 4.006 0.000" Properties=species:S:1:pos:R:3 comment="AcPmNdSn | Alexandria | PBE | relaxed" e_tot_ev_per_cell=-18.509 magmom_total_mub_per_cell=0.0 volume_a3_per_atom=32.141 ef_mev_per_atom=-220 dos_ef_per_ev_cell=6.85 pbc="T T T"
Ac 0.000 0.000 0.000
Pm 2.003 2.003 2.003
Nd 6.009 6.009 6.009
Sn 4.006 4.006 4.006

---

3
Lattice="0.000 3.686 3.686 3.686 0.000 3.686 3.686 3.686 0.000" Properties=species:S:1:pos:R:3 comment="KLaAs | Alexandria | PBE | relaxed" e_tot_ev_per_cell=-12.370 magmom_total_mub_per_cell=0.0 volume_a3_per_atom=33.377 ef_mev_per_atom=-565 dos_ef_per_ev_cell=2.08 pbc="T T T"
K 0.000 0.000 0.000
La 3.686 3.686 3.686
As 5.528 5.528 5.528